1.
A plane-wave DFT calculation with GGA-PBE was carried out for an optimized crystal structure of CrSbRh.

Geometry as POSCAR:
```
CrSbRh
1.0
-0.139 -2.528 3.747
2.219 -4.407 -0.365
3.961 1.770 2.521
Sb Rh Cr
2 2 2
Direct
0.314 0.235 0.783
0.686 0.765 0.217
0.340 0.435 0.287
0.660 0.565 0.713
0.001 0.915 0.671
0.999 0.085 0.329
```

Output
The formation energy (no corrections) is 0.0066 eV per atom. The total magnetic moment comes out at 0.000 μB per formula unit. The space group is No. 2.


2.
A plane-wave DFT calculation with GGA-PBE was carried out for an optimized crystal structure of Pm12SmY2.

Geometry as POSCAR:
```
Pm12SmY2
1.0
6.534 0.000 0.000
0.000 6.534 0.000
0.000 0.000 25.481
Pm Sm Y
24 2 4
Direct
0.500 0.500 0.784
0.000 0.000 0.784
0.818 0.682 0.884
0.318 0.818 0.884
0.000 0.000 0.338
0.182 0.682 0.116
0.832 0.332 0.562
0.500 0.500 0.338
0.182 0.318 0.884
0.682 0.818 0.116
0.332 0.168 0.562
0.668 0.168 0.438
0.000 0.000 0.662
0.168 0.332 0.438
0.318 0.182 0.116
0.832 0.668 0.438
0.668 0.832 0.562
0.000 0.000 0.216
0.168 0.668 0.562
0.500 0.500 0.662
0.682 0.182 0.884
0.500 0.500 0.216
0.332 0.832 0.438
0.818 0.318 0.116
0.500 0.000 0.000
0.000 0.500 0.000
0.500 0.000 0.274
0.000 0.500 0.274
0.000 0.500 0.726
0.500 0.000 0.726
```

Output
The total magnetic moment comes out at 0.000 μB per formula unit. The space group is No. 125. The energy relative to the elements is 4.6 eV per formula unit.


3.
A plane-wave DFT calculation with GGA-PBE was carried out for an optimized crystal structure of Pt.

Geometry as POSCAR:
```
Pt
1.0
-2.263 -0.519 1.501
0.760 -1.745 -2.005
2.638 -2.449 3.130
Pt
2
Direct
0.667 0.333 0.750
0.333 0.667 0.250
```

Output
As for the energy above the most stable polymorph in this dataset: 4.0 kJ per mole of atoms. The total magnetic moment comes out at 0.000 μB per formula unit. The space group is No. 194. The energy relative to the elements is 0.0 eV per formula unit.


4.
A plane-wave DFT calculation with GGA-PBE was carried out for an optimized crystal structure of HfTiTl2Os.

Geometry as POSCAR:
```
HfTiTl2Os
1.0
-1.217 -1.450 -5.101
-1.186 -4.326 1.513
-5.125 1.667 0.748
Hf Tl Os Ti
1 2 1 1
Direct
0.000 0.000 0.000
0.000 0.000 0.500
0.500 0.000 0.000
0.500 0.500 0.500
0.000 0.500 0.000
```

Output
The total magnetic moment comes out at 3.090 μB per formula unit. The space group is No. 123. The energy relative to the elements is 9.7 eV per formula unit.